Crystalline Sm3Tl3VO8 at its relaxed geometry, computed with PBE with a Hubbard U.

Values from the calculation:
- magnetic moment (μB/atom) = 0.067
- electronic total energy (eV/cell) = -202.00

Lattice parameters (Å, degrees): 11.9782 6.9479 7.6763 90.00 121.72 90.00
Closest atoms and distances in Å follow each position.
Space group C2/m (No. 12)
Unique sites:
Sm: 0.0000 0.0000 0.0000  6 O 2.31-2.38
Sm: 0.2500 0.2500 0.0000  6 O 2.31-2.39
Tl: 0.0000 0.5000 0.5000  6 O 2.89-2.92
Tl: 0.2500 0.2500 0.5000  6 O 2.89-2.93
V: 0.0000 0.5000 0.0000  6 O 2.01-2.07
O: 0.0192 0.2789 0.8375  1 V 2.07
O: 0.1970 0.5000 0.1590  1 V 2.01
O: 0.2262 0.0000 0.1754  3 Sm 2.31